Density functional theory data (PBE-GGA) for an optimized crystal structure of Na2Ag2W3.

The space group is R3m (No. 160, hexagonal axes) and the conventional cell measures 4.5171, 4.5171 and 21.9110 Å, with angles of 90.00, 90.00 and 120.00 degrees. The asymmetric unit holds Na at (0.0000, 0.0000, 0.0000), Na at (0.0000, 0.0000, 0.4217), Ag at (0.0000, 0.0000, 0.1331), Ag at (0.0000, 0.0000, 0.7031), W at (0.0000, 0.0000, 0.2568), W at (0.0000, 0.0000, 0.5684) and W at (0.0000, 0.0000, 0.8663).

As for the crystal system: trigonal. For the total energy, the calculation gives -6.038 eV/atom.